Entry 1:
# BC3

A geometry-optimized BC3 structure (PBE, the Alexandria database).

Summary:
- Offset from the most stable computed form: 17 meV/atom
- Spin magnetization: 0.00 Bohr magnetons per cell

Cell lengths 2.6110, 2.6110, 13.6327 Å; angles 90.00, 90.00, 120.00 degrees
Last column: nearest neighbours and their distance in Å.
Element x y z (fractional)
B1 0.3333 0.6667 0.6856  4 C 1.64-1.68
B2 0.0000 0.0000 0.3215  3 C 1.53
B3 0.0000 0.0000 0.5519  3 C 1.51
C1 0.6667 0.3333 0.8442  4 C 1.51-1.60
C2 0.0000 0.0000 0.8832  4 C 1.54-1.60
C3 0.6667 0.3333 0.7336  1 C 1.51, 3 B 1.64
C4 0.6667 0.3333 0.3045  3 B 1.53, 1 C 1.63
C5 0.3333 0.6667 0.5626  4 B 1.51-1.68
C6 0.3333 0.6667 0.1476  4 C 1.55-1.59
C7 0.6667 0.3333 0.1851  4 C 1.59-1.63
C8 0.0000 0.0000 0.9963  4 C 1.54-1.59
C9 0.3333 0.6667 0.0340  4 C 1.55-1.59

=====

Entry 2:
# EuOF

A geometry-optimized EuOF structure (PBE, the Alexandria database).

Summary:
- Uncorrected formation energy: -3.1840 eV/atom
- Spin magnetization: 12.00 Bohr magnetons per cell

Cell lengths 6.9046, 6.9046, 6.9046 Å; angles 33.28, 33.28, 33.28 degrees
Last column: nearest neighbours and their distance in Å.
Element x y z (fractional)
Eu1 0.2426 0.2426 0.2426  4 O 2.32-2.37, 4 F 2.50-2.52
Eu2 0.7574 0.7574 0.7574  4 O 2.32-2.37, 4 F 2.50-2.52
O1 0.1237 0.1237 0.1237  4 Eu 2.32-2.37
O2 0.8763 0.8763 0.8763  4 Eu 2.32-2.37
F1 0.6284 0.6284 0.6284  4 Eu 2.50-2.52, 3 F 2.73
F2 0.3716 0.3716 0.3716  4 Eu 2.50-2.52, 3 F 2.73

=====

Entry 3:
# Ca3Ga2Rh

A geometry-optimized Ca3Ga2Rh structure (PBE, the Alexandria database).

Summary:
- Total DFT energy (no corrections): -3.7362 eV/atom
- Spin magnetization: 0.00 Bohr magnetons per cell

Cell lengths 4.3788, 11.9798, 11.8838 Å; angles 90.00, 90.00, 90.00 degrees
Last column: nearest neighbours and their distance in Å.
Element x y z (fractional)
Ca1 0.2500 0.3794 0.0576  1 Rh 3.02, 5 Ga 3.18-3.38
Ca2 0.7500 0.6206 0.9424  1 Rh 3.02, 5 Ga 3.18-3.38
Ca3 0.7500 0.8794 0.4424  1 Rh 3.02, 5 Ga 3.18-3.38
Ca4 0.2500 0.1206 0.5576  1 Rh 3.02, 5 Ga 3.18-3.38
Ca5 0.2500 0.7050 0.2145  4 Ga 3.04-3.20, 2 Rh 3.04
Ca6 0.7500 0.2950 0.7855  4 Ga 3.04-3.20, 2 Rh 3.04
Ca7 0.7500 0.2050 0.2855  4 Ga 3.04-3.20, 2 Rh 3.04
Ca8 0.2500 0.7950 0.7145  4 Ga 3.04-3.20, 2 Rh 3.04
Ca9 0.2500 0.4463 0.3854  3 Rh 2.99-3.15, 5 Ga 3.08-3.23
Ca10 0.7500 0.5537 0.6146  3 Rh 2.99-3.15, 5 Ga 3.08-3.23
Ca11 0.7500 0.9463 0.1146  3 Rh 2.99-3.15, 5 Ga 3.08-3.23
Ca12 0.2500 0.0537 0.8854  3 Rh 2.99-3.15, 5 Ga 3.08-3.23
Ga1 0.2500 0.6893 0.4695  2 Rh 2.53
Ga2 0.7500 0.3107 0.5305  2 Rh 2.53
Ga3 0.7500 0.1893 0.0305  2 Rh 2.53
Ga4 0.2500 0.8107 0.9695  2 Rh 2.53
Ga5 0.2500 0.0106 0.2953  1 Rh 2.54
Ga6 0.7500 0.9894 0.7047  1 Rh 2.54
Ga7 0.7500 0.5106 0.2047  1 Rh 2.54
Ga8 0.2500 0.4894 0.7953  1 Rh 2.54
Rh1 0.2500 0.1354 0.1227  3 Ga 2.53-2.54
Rh2 0.7500 0.8646 0.8773  3 Ga 2.53-2.54
Rh3 0.7500 0.6354 0.3773  3 Ga 2.53-2.54
Rh4 0.2500 0.3646 0.6227  3 Ga 2.53-2.54

=====

Entry 4:
# K2AgO8

A geometry-optimized K2AgO8 structure (PBE, the Alexandria database).

Summary:
- Uncorrected formation energy: -0.3952 eV/atom
- Spin magnetization: 3.00 Bohr magnetons per cell

Cell lengths 3.8522, 6.5589, 8.2868 Å; angles 66.69, 84.83, 90.00 degrees
Last column: nearest neighbours and their distance in Å.
Element x y z (fractional)
K1 0.5311 0.3439 0.3123  8 O 2.67-2.99
K2 0.4689 0.6561 0.6877  8 O 2.67-2.99
Ag1 0.0000 0.0000 0.0000  4 O 2.39
O1 0.0133 0.6888 0.2755  1 O 1.39
O2 0.0133 0.0356 0.2755  1 O 1.39
O3 0.9867 0.3112 0.7245  1 O 1.39
O4 0.1395 0.4796 0.0408  1 O 1.29
O5 0.9867 0.9644 0.7245  1 O 1.39
O6 0.9842 0.1898 0.6203  2 O 1.39
O7 0.0158 0.8102 0.3797  2 O 1.39
O8 0.8605 0.5204 0.9592  1 O 1.29

=====

Entry 5:
# Cd2AgCl

A geometry-optimized Cd2AgCl structure (PBE, the Alexandria database).

Summary:
- Offset from the most stable computed form: 180 meV/atom
- Uncorrected formation energy: -0.0835 eV/atom
- Spin magnetization: 0.00 Bohr magnetons per cell

Cell lengths 6.2933, 6.2933, 6.2933 Å; angles 142.56, 142.56, 53.99 degrees
Last column: nearest neighbours and their distance in Å.
Element x y z (fractional)
Cl1 0.5000 0.5000 0.0000  4 Cd 2.86
Ag1 0.7500 0.2500 0.5000  4 Cd 2.86
Cd1 0.0000 0.0000 0.0000  4 Cl 2.86
Cd2 0.2500 0.7500 0.5000  4 Ag 2.86

=====

Entry 6:
# Ba2SiNiSb

A geometry-optimized Ba2SiNiSb structure (PBE, the Alexandria database).

Summary:
- Uncorrected formation energy: -0.4187 eV/atom
- Spin magnetization: 0.00 Bohr magnetons per cell

Cell lengths 6.0791, 4.3663, 6.0791 Å; angles 90.00, 90.00, 90.00 degrees
Last column: nearest neighbours and their distance in Å.
Element x y z (fractional)
Sb1 0.5000 0.5000 0.5000  8 Ba 3.74
Si1 0.0000 0.5000 0.0000  2 Ni 2.18
Ba1 0.0000 0.0000 0.5000  2 Ni 3.04
Ba2 0.5000 0.0000 0.0000  2 Ni 3.04
Ni1 0.0000 0.0000 0.0000  2 Si 2.18

=====

Entry 7:
# SmLuRhAu

A geometry-optimized SmLuRhAu structure (PBE, the Alexandria database).

Summary:
- Total DFT energy (no corrections): -5.7714 eV/atom
- Spin magnetization: 0.00 Bohr magnetons per cell

Cell lengths 4.9819, 4.9819, 4.9819 Å; angles 60.00, 60.00, 60.00 degrees
Last column: nearest neighbours and their distance in Å.
Element x y z (fractional)
Rh1 0.0000 0.0000 0.0000  4 Sm 3.05, 4 Lu 3.05
Lu1 0.7500 0.7500 0.7500  4 Rh 3.05, 4 Au 3.05
Au1 0.5000 0.5000 0.5000  4 Sm 3.05, 4 Lu 3.05
Sm1 0.2500 0.2500 0.2500  4 Au 3.05, 4 Rh 3.05

=====

Entry 8:
# CaRePb2

A geometry-optimized CaRePb2 structure (PBE, the Alexandria database).

Summary:
- Offset from the most stable computed form: 80 meV/atom
- Spin magnetization: 0.00 Bohr magnetons per cell

Cell lengths 5.0249, 5.0249, 5.0249 Å; angles 60.00, 60.00, 60.00 degrees
Last column: nearest neighbours and their distance in Å.
Element x y z (fractional)
Pb1 0.2500 0.2500 0.2500  4 Re 3.08, 4 Ca 3.08
Pb2 0.7500 0.7500 0.7500  4 Re 3.08, 4 Ca 3.08
Re1 0.5000 0.5000 0.5000  8 Pb 3.08
Ca1 0.0000 0.0000 0.0000  8 Pb 3.08

=====

Entry 9:
# Pa2CuSi4Rh3

A geometry-optimized Pa2CuSi4Rh3 structure (PBE, the Alexandria database).

Summary:
- Uncorrected formation energy: -0.8260 eV/atom
- Spin magnetization: 0.00 Bohr magnetons per cell

Cell lengths 4.1218, 4.1218, 9.7755 Å; angles 90.00, 90.00, 90.00 degrees
Last column: nearest neighbours and their distance in Å.
Element x y z (fractional)
Pa1 0.5000 0.0000 0.2505  8 Si 3.13-3.20, 6 Rh 3.16-3.19, 2 Cu 3.19
Pa2 0.0000 0.5000 0.7495  8 Si 3.13-3.20, 6 Rh 3.16-3.19, 2 Cu 3.19
Cu1 0.5000 0.5000 0.5000  4 Si 2.43
Si1 0.5000 0.5000 0.0000  4 Rh 2.40
Si2 0.0000 0.0000 0.0000  4 Rh 2.40
Si3 0.5000 0.0000 0.6316  3 Rh 2.36-2.43, 2 Cu 2.43
Si4 0.0000 0.5000 0.3684  3 Rh 2.36-2.43, 2 Cu 2.43
Rh1 0.0000 0.0000 0.5000  4 Si 2.43
Rh2 0.5000 0.0000 0.8734  5 Si 2.36-2.40
Rh3 0.0000 0.5000 0.1266  5 Si 2.36-2.40

=====

Entry 10:
# AcPr2Y

A geometry-optimized AcPr2Y structure (PBE, the Alexandria database).

Summary:
- Offset from the most stable computed form: 0 meV/atom
- Spin magnetization: 0.00 Bohr magnetons per cell

Cell lengths 3.7790, 7.4399, 6.4352 Å; angles 54.69, 90.00, 90.00 degrees
Last column: nearest neighbours and their distance in Å.
Element x y z (fractional)
Ac1 0.5000 0.5000 0.5000  2 Y 3.72, 8 Pr 3.73, 2 Ac 3.78
Pr1 0.0000 0.0000 0.0000  4 Pr 3.72-3.78, 4 Ac 3.73, 4 Y 3.73
Pr2 0.0000 0.5000 0.0000  4 Pr 3.72-3.78, 4 Y 3.73, 4 Ac 3.73
Y1 0.5000 0.0000 0.5000  2 Ac 3.72, 8 Pr 3.73, 2 Y 3.78

=====

Entry 11:
# Be2VSb2

A geometry-optimized Be2VSb2 structure (PBE, the Alexandria database).

Summary:
- Offset from the most stable computed form: 0 meV/atom
- Uncorrected formation energy: 0.3896 eV/atom
- Spin magnetization: 2.26 Bohr magnetons per cell

Cell lengths 6.6787, 6.6787, 3.5434 Å; angles 90.00, 90.00, 90.00 degrees
Last column: nearest neighbours and their distance in Å.
Element x y z (fractional)
Sb1 0.1821 0.6821 0.5000  6 Be 2.60-2.70
Sb2 0.6821 0.8179 0.5000  6 Be 2.60-2.70
Sb3 0.8179 0.3179 0.5000  6 Be 2.60-2.70
Sb4 0.3179 0.1821 0.5000  6 Be 2.60-2.70
V1 0.0000 0.0000 0.0000  4 Be 2.68
V2 0.5000 0.5000 0.0000  4 Be 2.68
Be1 0.3833 0.8833 0.0000  1 Be 2.21
Be2 0.8833 0.6167 0.0000  1 Be 2.21
Be3 0.6167 0.1167 0.0000  1 Be 2.21
Be4 0.1167 0.3833 0.0000  1 Be 2.21

=====

Entry 12:
# FeBMo

A geometry-optimized FeBMo structure (PBE, the Alexandria database).

Summary:
- Total DFT energy (no corrections): -8.7425 eV/atom
- Spin magnetization: 0.00 Bohr magnetons per cell

Cell lengths 2.6507, 2.6507, 4.8413 Å; angles 105.89, 105.89, 90.00 degrees
Last column: nearest neighbours and their distance in Å.
Element x y z (fractional)
Mo1 0.2734 0.2734 0.5467  4 B 2.48, 5 Fe 2.57-2.67, 4 Mo 2.65
B1 0.5910 0.5910 0.1820  4 Fe 2.10
Fe1 0.9857 0.9857 0.9713  4 B 2.10